# PBE AlGaRh, optimized geometry
# - uncorrected energy (eV per atom) = -5.3499
# - N(E_F) (states/eV/f.u.) = 0.98
# - ΔH_f (0 K) (meV/atom) = -643
# - crystal system = orthorhombic
data_AlGaRh
_chemical_formula_sum 'Al4 Ga4 Rh4'
_cell_length_a 4.586
_cell_length_b 8.217
_cell_length_c 4.606
_cell_angle_alpha 90.00
_cell_angle_beta 90.00
_cell_angle_gamma 90.00
_symmetry_space_group_name_H-M 'C m c m'
_symmetry_Int_Tables_number 63
_symmetry_space_group_name_Hall '-C 2c 2'
loop_
_atom_site_label
_atom_site_fract_x
_atom_site_fract_y
_atom_site_fract_z
_atom_site_occupancy
Al1 0.000 0.091 0.250 1
Ga1 0.000 0.415 0.250 1
Rh1 0.000 0.242 0.750 1

***

# PBE Pm5PrNd6, optimized geometry
# - uncorrected energy (eV per atom) = -4.7494
# - N(E_F) (states/eV/f.u.) = 18.94
# - ΔH_f (0 K) (meV/atom) = 12
# - crystal system = monoclinic
data_Pm5PrNd6
_chemical_formula_sum 'Pm10 Pr2 Nd12'
_cell_length_a 16.391
_cell_length_b 10.379
_cell_length_c 5.194
_cell_angle_alpha 90.00
_cell_angle_beta 108.39
_cell_angle_gamma 90.00
_symmetry_space_group_name_H-M 'C 1 2/m 1'
_symmetry_Int_Tables_number 12
loop_
_symmetry_equiv_pos_as_xyz
'x,y,z'
'-x,-y,-z'
'-x,y,-z'
'x,-y,z'
'x+1/2,y+1/2,z'
'-x+1/2,-y+1/2,-z'
'-x+1/2,y+1/2,-z'
'x+1/2,-y+1/2,z'
loop_
_atom_site_label
_atom_site_fract_x
_atom_site_fract_y
_atom_site_fract_z
_atom_site_occupancy
Pm1 0.000 0.000 0.000 1
Pm2 0.167 0.000 0.667 1
Pm3 0.167 0.500 0.667 1
Pr1 0.000 0.500 0.000 1
Nd1 0.000 0.249 0.500 1
Nd2 0.167 0.249 0.167 1

***

# PBE CrAg2SnN, optimized geometry
# - uncorrected energy (eV per atom) = -4.2692
# - E_form (uncorrected) (eV per atom) = 1.2616
# - N(E_F) (states/eV/f.u.) = 3.08
# - crystal system = tetragonal
data_CrAg2SnN
_chemical_formula_sum 'Cr1 Ag2 Sn1 N1'
_cell_length_a 5.321
_cell_length_b 5.321
_cell_length_c 4.010
_cell_angle_alpha 90.00
_cell_angle_beta 90.00
_cell_angle_gamma 90.00
_symmetry_space_group_name_H-M 'P 4/m m m'
_symmetry_Int_Tables_number 123
_symmetry_space_group_name_Hall '-P 4 2'
loop_
_atom_site_label
_atom_site_fract_x
_atom_site_fract_y
_atom_site_fract_z
_atom_site_occupancy
Cr1 0.000 0.000 0.000 1
Ag1 0.000 0.500 0.500 1
Sn1 0.500 0.500 0.500 1
N1 0.500 0.500 0.000 1

***

# PBE KNiHgCl6, optimized geometry
# - uncorrected energy (eV per atom) = -2.8496
# - E_form (uncorrected) (eV per atom) = -0.8206
# - crystal system = monoclinic
data_KNiHgCl6
_chemical_formula_sum 'K2 Ni2 Hg2 Cl12'
_cell_length_a 6.974
_cell_length_b 10.996
_cell_length_c 6.823
_cell_angle_alpha 90.00
_cell_angle_beta 93.53
_cell_angle_gamma 90.00
_symmetry_space_group_name_H-M 'C 1 2 1'
_symmetry_Int_Tables_number 5
loop_
_symmetry_equiv_pos_as_xyz
'x,y,z'
'-x,y,-z'
'x+1/2,y+1/2,z'
'-x+1/2,y+1/2,-z'
loop_
_atom_site_label
_atom_site_fract_x
_atom_site_fract_y
_atom_site_fract_z
_atom_site_occupancy
K1 0.000 0.000 0.000 1
Ni1 0.000 0.332 0.500 1
Hg1 0.000 0.683 0.500 1
Cl1 0.129 0.478 0.696 1
Cl2 0.151 0.193 0.693 1
Cl3 0.220 0.823 0.717 1

***

# PBE BeCdBIrAu, optimized geometry
# - uncorrected energy (eV per atom) = -4.8112
# - N(E_F) (states/eV/f.u.) = 1.31
# - ΔH_f (0 K) (meV/atom) = -120
# - energy above the lowest structure with this stoichiometry (eV per formula unit) = 0.03
# - crystal system = trigonal
data_BeCdBIrAu
_chemical_formula_sum 'Be1 Cd1 B1 Ir1 Au1'
_cell_length_a 3.4622
_cell_length_b 3.4622
_cell_length_c 7.1033
_cell_angle_alpha 90.00
_cell_angle_beta 90.00
_cell_angle_gamma 120.00
_symmetry_space_group_name_H-M 'P 3 m 1'
_symmetry_Int_Tables_number 156
loop_
_symmetry_equiv_pos_as_xyz
'x,y,z'
'-y,x-y,z'
'-x+y,-x,z'
'-y,-x,z'
'-x+y,y,z'
'x,x-y,z'
loop_
_atom_site_label
_atom_site_fract_x
_atom_site_fract_y
_atom_site_fract_z
_atom_site_occupancy
Be1 0.0000 0.0000 0.0000 1
Cd1 0.0000 0.0000 0.4942 1
B1 0.3333 0.6667 0.8619 1
Ir1 0.6667 0.3333 0.8007 1
Au1 0.6667 0.3333 0.2066 1

***

# PBE Mg14CuMo, optimized geometry
# - uncorrected energy (eV per atom) = -2.2225
# - N(E_F) (states/eV/f.u.) = 6.43
# - ΔH_f (0 K) (meV/atom) = 106
# - energy above the lowest structure with this stoichiometry (eV per formula unit) = 0.10
# - crystal system = orthorhombic
data_Mg14CuMo
_chemical_formula_sum 'Mg28 Cu2 Mo2'
_cell_length_a 9.936
_cell_length_b 6.275
_cell_length_c 10.710
_cell_angle_alpha 90.00
_cell_angle_beta 90.00
_cell_angle_gamma 90.00
_symmetry_space_group_name_H-M 'A m m 2'
_symmetry_Int_Tables_number 38
loop_
_symmetry_equiv_pos_as_xyz
'x,y,z'
'-x,-y,z'
'-x,y,z'
'x,-y,z'
'x,y+1/2,z+1/2'
'-x,-y+1/2,z+1/2'
'-x,y+1/2,z+1/2'
'x,-y+1/2,z+1/2'
loop_
_atom_site_label
_atom_site_fract_x
_atom_site_fract_y
_atom_site_fract_z
_atom_site_occupancy
Mg1 0.000 0.000 0.000 1
Mg2 0.000 0.000 0.499 1
Mg3 0.000 0.250 0.247 1
Mg4 0.257 0.000 0.835 1
Mg5 0.258 0.000 0.331 1
Mg6 0.272 0.250 0.074 1
Mg7 0.500 0.247 0.753 1
Cu1 0.500 0.000 0.494 1
Mo1 0.500 0.000 0.996 1

***

# PBE VAg3As, optimized geometry
# - uncorrected energy (eV per atom) = -3.6541
# - N(E_F) (states/eV/f.u.) = 6.77
# - ΔH_f (0 K) (meV/atom) = 810
# - energy above the lowest structure with this stoichiometry (eV per formula unit) = 0.00
# - crystal system = cubic
data_VAg3As
_chemical_formula_sum 'V1 Ag3 As1'
_cell_length_a 4.888
_cell_length_b 4.888
_cell_length_c 4.888
_cell_angle_alpha 90.00
_cell_angle_beta 90.00
_cell_angle_gamma 90.00
_symmetry_space_group_name_H-M 'P m -3 m'
_symmetry_Int_Tables_number 221
_symmetry_space_group_name_Hall '-P 4 2 3'
loop_
_atom_site_label
_atom_site_fract_x
_atom_site_fract_y
_atom_site_fract_z
_atom_site_occupancy
V1 0.000 0.000 0.000 1
Ag1 0.000 0.500 0.500 1
As1 0.500 0.500 0.500 1

***

# PBE La2Tb5Ho2, optimized geometry
# - uncorrected energy (eV per atom) = -4.4741
# - N(E_F) (states/eV/f.u.) = 13.35
# - ΔH_f (0 K) (meV/atom) = 210
# - energy above the lowest structure with this stoichiometry (eV per formula unit) = 0.05
# - crystal system = monoclinic
data_La2Tb5Ho2
_chemical_formula_sum 'La4 Tb10 Ho4'
_cell_length_a 21.900
_cell_length_b 3.504
_cell_length_c 8.293
_cell_angle_alpha 90.00
_cell_angle_beta 100.25
_cell_angle_gamma 90.00
_symmetry_space_group_name_H-M 'C 1 2/m 1'
_symmetry_Int_Tables_number 12
loop_
_symmetry_equiv_pos_as_xyz
'x,y,z'
'-x,-y,-z'
'-x,y,-z'
'x,-y,z'
'x+1/2,y+1/2,z'
'-x+1/2,-y+1/2,-z'
'-x+1/2,y+1/2,-z'
'x+1/2,-y+1/2,z'
loop_
_atom_site_label
_atom_site_fract_x
_atom_site_fract_y
_atom_site_fract_z
_atom_site_occupancy
La1 0.180 0.000 0.144 1
Tb1 0.000 0.000 0.000 1
Tb2 0.094 0.000 0.733 1
Tb3 0.191 0.500 0.535 1
Ho1 0.047 0.500 0.358 1

***

# PBE PaFe2Tc, optimized geometry
# - uncorrected energy (eV per atom) = -9.1047
# - N(E_F) (states/eV/f.u.) = 3.17
# - ΔH_f (0 K) (meV/atom) = 92
# - energy above the lowest structure with this stoichiometry (eV per formula unit) = 0.21
# - crystal system = cubic
data_PaFe2Tc
_chemical_formula_sum 'Pa4 Fe8 Tc4'
_cell_length_a 6.301
_cell_length_b 6.301
_cell_length_c 6.301
_cell_angle_alpha 90.00
_cell_angle_beta 90.00
_cell_angle_gamma 90.00
_symmetry_space_group_name_H-M 'F m -3 m'
_symmetry_Int_Tables_number 225
_symmetry_space_group_name_Hall '-F 4 2 3'
loop_
_atom_site_label
_atom_site_fract_x
_atom_site_fract_y
_atom_site_fract_z
_atom_site_occupancy
Pa1 0.000 0.000 0.000 1
Fe1 0.250 0.250 0.250 1
Tc1 0.000 0.000 0.500 1

***

# PBE BaScMoC2, optimized geometry
# - uncorrected energy (eV per atom) = -5.6114
# - N(E_F) (states/eV/f.u.) = 6.12
# - ΔH_f (0 K) (meV/atom) = 1895
# - crystal system = tetragonal
data_BaScMoC2
_chemical_formula_sum 'Ba1 Sc1 Mo1 C2'
_cell_length_a 4.488
_cell_length_b 4.488
_cell_length_c 4.878
_cell_angle_alpha 90.00
_cell_angle_beta 90.00
_cell_angle_gamma 90.00
_symmetry_space_group_name_H-M 'P 4/m m m'
_symmetry_Int_Tables_number 123
_symmetry_space_group_name_Hall '-P 4 2'
loop_
_atom_site_label
_atom_site_fract_x
_atom_site_fract_y
_atom_site_fract_z
_atom_site_occupancy
Ba1 0.000 0.000 0.000 1
Sc1 0.500 0.500 0.500 1
Mo1 0.500 0.500 0.000 1
C1 0.000 0.500 0.500 1

***

# PBE Ca2Y2P, optimized geometry
# - uncorrected energy (eV per atom) = -4.7598
# - N(E_F) (states/eV/f.u.) = 4.75
# - ΔH_f (0 K) (meV/atom) = -292
# - energy above the lowest structure with this stoichiometry (eV per formula unit) = 0.00
# - crystal system = tetragonal
data_Ca2Y2P
_chemical_formula_sum 'Ca4 Y4 P2'
_cell_length_a 7.441
_cell_length_b 7.441
_cell_length_c 6.017
_cell_angle_alpha 90.00
_cell_angle_beta 90.00
_cell_angle_gamma 90.00
_symmetry_space_group_name_H-M 'P 4/m b m'
_symmetry_Int_Tables_number 127
_symmetry_space_group_name_Hall '-P 4 2ab'
loop_
_atom_site_label
_atom_site_fract_x
_atom_site_fract_y
_atom_site_fract_z
_atom_site_occupancy
Ca1 0.161 0.339 0.000 1
Y1 0.165 0.665 0.500 1
P1 0.000 0.000 0.500 1

***

# PBE AcGeSe2, optimized geometry
# - uncorrected energy (eV per atom) = -4.9144
# - E_form (uncorrected) (eV per atom) = -0.9906
# - N(E_F) (states/eV/f.u.) = 2.53
# - energy above the lowest structure with this stoichiometry (eV per formula unit) = 0.05
# - crystal system = tetragonal
data_AcGeSe2
_chemical_formula_sum 'Ac1 Ge1 Se2'
_cell_length_a 5.055
_cell_length_b 5.055
_cell_length_c 3.944
_cell_angle_alpha 90.00
_cell_angle_beta 90.00
_cell_angle_gamma 90.00
_symmetry_space_group_name_H-M 'P 4/m m m'
_symmetry_Int_Tables_number 123
_symmetry_space_group_name_Hall '-P 4 2'
loop_
_atom_site_label
_atom_site_fract_x
_atom_site_fract_y
_atom_site_fract_z
_atom_site_occupancy
Ac1 0.000 0.000 0.000 1
Ge1 0.500 0.500 0.000 1
Se1 0.000 0.500 0.500 1